11
Lattice="4.090 0.000 -0.596 -0.087 4.089 -0.596 -0.136 -0.139 13.387" Properties=species:S:1:pos:R:3 comment="CsCu6Se4 PBE-GGA optimized geometry" magmom_total_mub_per_fu=0.0 crystal_system=tetragonal pbc="T T T"
Cs 0.000 0.000 0.000
Cu 2.978 0.953 6.097
Cu 3.407 1.391 9.040
Cu 0.460 2.559 3.154
Cu 2.548 0.514 3.154
Cu 1.318 3.436 9.040
Cu 0.889 2.997 6.097
Se 1.542 1.575 10.574
Se 0.731 0.747 5.013
Se 3.136 3.203 7.181
Se 2.324 2.374 1.619



10
Lattice="-3.809 -0.471 -1.371 -4.039 -1.508 5.681 -4.846 11.723 3.382" Properties=species:S:1:pos:R:3 comment="Cs2CuSe2 PBE-GGA optimized geometry" magmom_total_mub_per_fu=0.0 crystal_system=monoclinic pbc="T T T"
Cs -5.573 3.725 2.091
Cs -8.969 9.833 3.372
Cs -7.120 6.019 5.602
Cs -3.724 -0.089 4.320
Cu -6.095 7.827 2.132
Cu -6.599 1.917 5.561
Se -4.274 6.987 3.418
Se -9.984 8.335 6.706
Se -8.420 2.758 4.274
Se -2.709 1.409 0.986



5
Lattice="5.033 0.000 0.000 0.000 5.033 0.000 0.000 0.000 5.033" Properties=species:S:1:pos:R:3 comment="CsCu3Se PBE-GGA optimized geometry" magmom_total_mub_per_fu=0.0 crystal_system=cubic pbc="T T T"
Cs 2.516 2.516 2.516
Cu 0.000 2.516 0.000
Cu 0.000 0.000 2.516
Cu 2.516 0.000 0.000
Se 0.000 0.000 0.000



8
Lattice="6.382 0.000 0.000 3.191 6.286 -0.549 3.191 0.150 6.308" Properties=species:S:1:pos:R:3 comment="CsCu2SiSe4 PBE-GGA optimized geometry" magmom_total_mub_per_fu=0.0 crystal_system=orthorhombic pbc="T T T"
Cs 0.000 0.000 0.000
Cu 6.382 4.027 1.975
Cu 6.382 2.409 3.784
Si 3.191 3.218 2.880
Se 8.232 3.361 4.749
Se 4.531 1.344 2.945
Se 8.232 3.075 1.010
Se 4.531 5.092 2.814



16
Lattice="-0.558 4.196 4.521 1.863 -2.869 7.134 11.399 5.474 0.568" Properties=species:S:1:pos:R:3 comment="Cs2CuSiSe4 PBE-GGA optimized geometry" magmom_total_mub_per_fu=0.0 crystal_system=orthorhombic pbc="T T T"
Cs 7.235 4.270 1.171
Cs 3.606 5.400 3.917
Cs 10.376 5.653 6.638
Cs 2.049 3.246 7.845
Cu 6.213 4.450 7.242
Cu 0.000 0.000 0.000
Si 6.492 2.352 4.981
Si -0.279 2.098 2.260
Se 2.506 -0.503 7.311
Se 10.454 5.376 2.835
Se 11.293 6.218 10.298
Se 1.155 2.512 4.003
Se 5.570 2.084 7.065
Se 7.157 4.547 4.975
Se 7.624 5.033 9.167
Se 5.057 1.938 3.239



9
Lattice="-3.252 1.539 2.124 0.826 -6.188 5.749 5.985 5.242 1.255" Properties=species:S:1:pos:R:3 comment="Cs2SmCu2Se4 PBE-GGA optimized geometry" magmom_total_mub_per_fu=0.0 crystal_system=monoclinic pbc="T T T"
Cs 1.645 -1.823 3.840
Cs 1.914 2.417 5.288
Sm 0.000 0.000 0.000
Cu 0.716 -3.196 7.521
Cu 2.843 3.789 1.606
Se 1.867 1.478 1.788
Se 1.692 -0.884 7.340
Se -0.788 -3.752 5.621
Se 4.348 4.346 3.507



no.,formation energy from raw total energies (eV per atom),N(E_F) (states/eV/cell),energy (eV/atom)
1,-0.276,5.40,-3.86
2,-0.767,4.44,-3.32
3,0.402,2.39,-2.92
4,-0.452,6.04,-4.00
5,-0.762,15.55,-3.91
6,-1.054,6.67,-4.23